Compound: CeBiPb2
Source: the Alexandria database
Functional: PBE
Structure: optimized geometry

The formation energy comes out at -1.58 eV/f.u. Its theoretical density is 10656 kg/m3.

The structure belongs to space group P4/mmm (No. 123); the cell edges are 4.845, 4.845 and 5.068 Å and the angles 90.00°, 90.00° and 90.00°. The inequivalent atoms are Ce at (0.000, 0.000, 0.000), Bi at (0.500, 0.500, 0.000) and Pb at (0.000, 0.500, 0.500).

Compound: CsAg3Cl4
Source: the Alexandria database
Functional: PBE
Structure: optimized geometry

The calculation puts the formation energy without anion corrections at -6.0 eV per formula unit. Its theoretical density is 4341 kg/m3.

The structure belongs to space group Pm-3n (No. 223); the cell edges are 7.707, 7.707 and 7.707 Å and the angles 90.00°, 90.00° and 90.00°. The inequivalent atoms are Cs at (0.000, 0.000, 0.000), Ag at (0.000, 0.250, 0.500) and Cl at (0.250, 0.250, 0.250).

Compound: AcZn2Hg3
Source: the Alexandria database
Functional: PBE
Structure: optimized geometry

The formation energy comes out at -1.50 eV/f.u. Its theoretical density is 10854 kg/m3.

The structure belongs to space group C2/m (No. 12); the cell edges are 17.414, 4.701 and 8.026 Å and the angles 90.00°, 116.65° and 90.00°. The inequivalent atoms are Ac at (0.146, 0.000, 0.085), Zn at (0.012, 0.500, 0.165), Zn at (0.195, 0.000, 0.696), Hg at (0.032, 0.000, 0.361), Hg at (0.129, 0.500, 0.764) and Hg at (0.181, 0.500, 0.435).

Compound: Ho4PbC2
Source: the Alexandria database
Functional: PBE
Structure: optimized geometry

The formation energy comes out at -2.86 eV/f.u. Its theoretical density is 9268 kg/m3.

The structure belongs to space group R-3m (No. 166, hexagonal axes); the cell edges are 3.5963, 3.5963 and 42.7571 Å and the angles 90.00°, 90.00° and 120.00°. The inequivalent atoms are Ho at (0.0000, 0.0000, 0.1245), Ho at (0.0000, 0.0000, 0.2710), Pb at (0.0000, 0.0000, 0.0000) and C at (0.0000, 0.0000, 0.4276).

Compound: La3TlN
Source: the Alexandria database
Functional: PBE
Structure: optimized geometry

The calculation puts the formation energy without anion corrections at -3.2 eV per formula unit. Its theoretical density is 7408 kg/m3.

The structure belongs to space group C2/m (No. 12); the cell edges are 16.746, 3.721 and 10.118 Å and the angles 90.00°, 115.42° and 90.00°. The inequivalent atoms are La at (0.049, 0.000, 0.334), La at (0.107, 0.500, 0.081), La at (0.228, 0.500, 0.631), Tl at (0.175, 0.000, 0.869) and N at (0.157, 0.500, 0.359).

Compound: CaPb2Se
Source: the Alexandria database
Functional: PBE
Structure: optimized geometry

The calculation puts the formation energy without anion corrections at -0.9 eV per formula unit. Its theoretical density is 7084 kg/m3.

The structure belongs to space group R-3m (No. 166, hexagonal axes); the cell edges are 3.9861, 3.9861 and 27.2595 Å and the angles 90.00°, 90.00° and 120.00°. The inequivalent atoms are Ca at (0.0000, 0.0000, 0.0000), Pb at (0.0000, 0.0000, 0.2378) and Se at (0.0000, 0.0000, 0.5000).

Compound: Li2PtCl5
Source: the Alexandria database
Functional: PBE
Structure: optimized geometry

The calculation puts the formation energy without anion corrections at -8.8 eV per formula unit. Its theoretical density is 3265 kg/m3.

The structure belongs to space group Cmcm (No. 63); the cell edges are 5.171, 13.422 and 11.319 Å and the angles 90.00°, 90.00° and 90.00°. The inequivalent atoms are Li at (0.000, 0.185, 0.064), Pt at (0.000, 0.200, 0.750), Cl at (0.000, 0.077, 0.606), Cl at (0.000, 0.289, 0.250) and Cl at (0.000, 0.321, 0.598).

Compound: Ca2ZnCr
Source: the Alexandria database
Functional: PBE
Structure: optimized geometry

The formation energy comes out at 2.07 eV/f.u. Its theoretical density is 2967 kg/m3.

The structure belongs to space group I-42d (No. 122); the cell edges are 8.288, 8.288 and 6.439 Å and the angles 90.00°, 90.00° and 90.00°. The inequivalent atoms are Ca at (0.233, 0.250, 0.125), Zn at (0.000, 0.000, 0.000) and Cr at (0.000, 0.000, 0.500).